(1)
Computed, not measured: a relaxed structure of CsAlAs3 at the PBE level of DFT.

Cell: 5.1243 5.1243 5.1243 Å, 90.00 90.00 90.00°
Positions (direct):
1 Cs 0.0000 0.0000 0.0000
2 Al 0.5000 0.5000 0.5000
3 As 0.0000 0.5000 0.5000
4 As 0.5000 0.0000 0.5000
5 As 0.5000 0.5000 0.0000

Summary:
The volume comes out at 26.912 Å³ per atom. As for the energy above the most stable polymorph in this dataset: 0.000 eV/atom. The formation enthalpy at 0 K comes out at 0.178 eV per atom. The calculation puts the density of states at the Fermi level at 3.35 states/eV per cell.

(2)
Computed, not measured: a relaxed structure of CsAlAs at the PBE level of DFT.

Cell: 7.3671 7.3671 8.9896 Å, 109.91 109.91 32.27°
Positions (direct):
1 Cs 0.0000 0.0000 0.0000
2 Cs 0.1061 0.1061 0.4909
3 Al 0.2674 0.2674 0.9859
4 Al 0.7484 0.7484 0.2276
5 As 0.3736 0.3736 0.2574
6 As 0.6801 0.6801 0.8654

Summary:
The volume comes out at 40.594 Å³ per atom. As for the energy above the most stable polymorph in this dataset: 0.110 eV/atom. The formation enthalpy at 0 K comes out at -0.316 eV per atom.

(3)
Computed, not measured: a relaxed structure of Cs2AlAs at the PBE level of DFT.

Cell: 6.0930 6.0930 6.0930 Å, 60.00 60.00 60.00°
Positions (direct):
1 Cs 0.2500 0.2500 0.2500
2 Cs 0.7500 0.7500 0.7500
3 Al 0.0000 0.0000 0.0000
4 As 0.5000 0.5000 0.5000

Summary:
The volume comes out at 39.987 Å³ per atom. As for the energy above the most stable polymorph in this dataset: 0.000 eV/atom. The formation enthalpy at 0 K comes out at 0.313 eV per atom. The calculation puts the density of states at the Fermi level at 0.00 states/eV per cell.

(4)
Computed, not measured: a relaxed structure of Cs3Al2As3 at the PBE level of DFT.

Cell: 8.5200 8.5200 14.9875 Å, 90.00 90.00 149.86°
Positions (direct):
1 Cs 0.0769 0.9231 0.6158
2 Cs 0.0769 0.9231 0.8842
3 Cs 0.3781 0.6219 0.7500
4 Cs 0.6219 0.3781 0.2500
5 Cs 0.9231 0.0769 0.1158
6 Cs 0.9231 0.0769 0.3842
7 Al 0.2361 0.7639 0.0912
8 Al 0.2361 0.7639 0.4088
9 Al 0.7639 0.2361 0.5912
10 Al 0.7639 0.2361 0.9088
11 As 0.2918 0.7082 0.2500
12 As 0.3358 0.6642 0.5375
13 As 0.3358 0.6642 0.9625
14 As 0.6642 0.3358 0.0375
15 As 0.6642 0.3358 0.4625
16 As 0.7082 0.2918 0.7500

Summary:
The volume comes out at 34.146 Å³ per atom. The formation enthalpy at 0 K comes out at -0.444 eV per atom. The calculation puts the density of states at the Fermi level at 1.02 states/eV per cell.

(5)
Computed, not measured: a relaxed structure of Cs3AlAs2 at the PBE level of DFT.

Cell: 11.6396 9.0276 19.7728 Å, 90.00 100.31 90.00°
Positions (direct):
1 Cs 0.0825 0.0582 0.2415
2 Cs 0.0825 0.4418 0.7415
3 Cs 0.1498 0.5317 0.9667
4 Cs 0.1498 0.9683 0.4667
5 Cs 0.2596 0.0984 0.9204
6 Cs 0.2596 0.4016 0.4204
7 Cs 0.2937 0.1142 0.6609
8 Cs 0.2937 0.3858 0.1609
9 Cs 0.3621 0.7474 0.2889
10 Cs 0.3621 0.7526 0.7889
11 Cs 0.3741 0.5767 0.6072
12 Cs 0.3741 0.9233 0.1072
13 Cs 0.6259 0.0767 0.8928
14 Cs 0.6259 0.4233 0.3928
15 Cs 0.6379 0.2474 0.2111
16 Cs 0.6379 0.2526 0.7111
17 Cs 0.7063 0.6142 0.8391
18 Cs 0.7063 0.8858 0.3391
19 Cs 0.7404 0.5984 0.5796
20 Cs 0.7404 0.9016 0.0796
21 Cs 0.8502 0.0317 0.5333
22 Cs 0.8502 0.4683 0.0333
23 Cs 0.9175 0.5582 0.2585
24 Cs 0.9175 0.9418 0.7585
25 Al 0.0430 0.6124 0.5544
26 Al 0.0430 0.8876 0.0544
27 Al 0.4628 0.0537 0.4272
28 Al 0.4628 0.4463 0.9272
29 Al 0.5372 0.5537 0.0728
30 Al 0.5372 0.9463 0.5728
31 Al 0.9570 0.1124 0.9456
32 Al 0.9570 0.3876 0.4456
33 As 0.0602 0.1590 0.0634
34 As 0.0602 0.3410 0.5634
35 As 0.1007 0.7082 0.1412
36 As 0.1007 0.7918 0.6412
37 As 0.4027 0.1420 0.3124
38 As 0.4027 0.3580 0.8124
39 As 0.4921 0.7059 0.9674
40 As 0.4921 0.7941 0.4674
41 As 0.5079 0.2059 0.5326
42 As 0.5079 0.2941 0.0326
43 As 0.5973 0.6420 0.1876
44 As 0.5973 0.8580 0.6876
45 As 0.8993 0.2082 0.3588
46 As 0.8993 0.2918 0.8588
47 As 0.9398 0.6590 0.4366
48 As 0.9398 0.8410 0.9366

Summary:
The volume comes out at 42.587 Å³ per atom. The formation enthalpy at 0 K comes out at -0.512 eV per atom.

(6)
Computed, not measured: a relaxed structure of CsAl3As at the PBE level of DFT.

Cell: 5.3881 5.3881 5.3881 Å, 90.00 90.00 90.00°
Positions (direct):
1 Cs 0.0000 0.0000 0.0000
2 Al 0.0000 0.5000 0.5000
3 Al 0.5000 0.0000 0.5000
4 Al 0.5000 0.5000 0.0000
5 As 0.5000 0.5000 0.5000

Summary:
The volume comes out at 31.284 Å³ per atom. As for the energy above the most stable polymorph in this dataset: 0.000 eV/atom. The formation enthalpy at 0 K comes out at 0.558 eV per atom. The calculation puts the density of states at the Fermi level at 3.52 states/eV per cell.

(7)
Computed, not measured: a relaxed structure of CsAlAs3 at the PBE level of DFT.

Cell: 5.7849 5.7849 5.7849 Å, 90.00 90.00 90.00°
Positions (direct):
1 Cs 0.0000 0.0000 0.0000
2 Al 0.5000 0.5000 0.5000
3 As 0.0000 0.0000 0.5000
4 As 0.0000 0.5000 0.0000
5 As 0.5000 0.0000 0.0000

Summary:
The volume comes out at 38.719 Å³ per atom. As for the energy above the most stable polymorph in this dataset: 1.585 eV/atom. The formation enthalpy at 0 K comes out at 1.762 eV per atom. The calculation puts the density of states at the Fermi level at 7.36 states/eV per cell.

(8)
Computed, not measured: a relaxed structure of CsAl2As2 at the PBE level of DFT.

Cell: 3.9527 3.9527 8.4932 Å, 90.00 90.00 90.00°
Positions (direct):
1 Cs 0.0000 0.0000 0.0000
2 Al 0.0000 0.5000 0.5000
3 Al 0.5000 0.0000 0.5000
4 As 0.5000 0.5000 0.2939
5 As 0.5000 0.5000 0.7061

Summary:
The volume comes out at 26.540 Å³ per atom. The formation enthalpy at 0 K comes out at -0.261 eV per atom. The calculation puts the density of states at the Fermi level at 2.31 states/eV per cell.

Which value of formation enthalpy at 0 K does entry 5 give? -0.512 eV per atom

The highest formation enthalpy at 0 K belongs to which entry? number 7

Among the records above, which one has the highest formation enthalpy at 0 K? number 7